Entry from Alexandria: LiNpMnRu after structural relaxation (PBE).

For the final energy, the calculation gives -32.71 eV/f.u. Its symmetry is F-43m, No. 216. The value obtained for the density of states at the Fermi level is 8.3 states/eV/f.u. As for the formation energy: 0.146 eV/atom.

Lattice parameters (Å, degrees): 4.4117 4.4117 4.4117 60.00 60.00 60.00
Closest atoms and distances in Å follow each position.
Element x y z (fractional)
Li  0.0000  0.0000  0.0000  4 Mn 2.70, 4 Ru 2.70
Ru  0.2500  0.2500  0.2500  4 Li 2.70, 4 Np 2.70
Mn  0.7500  0.7500  0.7500  4 Np 2.70, 4 Li 2.70
Np  0.5000  0.5000  0.5000  4 Ru 2.70, 4 Mn 2.70